# CoCu2Os | the Alexandria database | meta-GGA SCAN | single point on PBEsol structure
# * theoretical density: 13.0 g cm⁻³
# * calculated total energy: -118.75 eV per cell
# * total magnetization: 1.907 μB per formula unit
data_CoCu2Os
_symmetry_space_group_name_H-M 'P 1'
_symmetry_Int_Tables_number 1
_cell_length_a 8.354
_cell_length_b 8.354
_cell_length_c 8.354
_cell_angle_alpha 17.92
_cell_angle_beta 17.92
_cell_angle_gamma 17.92
loop_
_symmetry_equiv_pos_as_xyz
'x,y,z'
loop_
_atom_site_label
_atom_site_fract_x
_atom_site_fract_y
_atom_site_fract_z
Co1 0.000 0.000 0.000
Cu1 0.497 0.497 0.497
Cu2 0.749 0.749 0.749
Os1 0.253 0.253 0.253